No. 1
First-principles (PBE) data for a relaxed TlAs crystal, as listed in the Alexandria database.

abc: 4.949 4.949 5.410
angles: 90.00 90.00 120.00
Positions (direct):
As1 0.000 0.000 0.000
As2 0.000 0.000 0.500
Tl1 0.667 0.333 0.750
Tl2 0.333 0.667 0.250

Calculated formation energy = 167 meV per atom
Symmetry = P6_3/mmc (194)
Energy = -3.341 eV/atom
Calculated density = 8085 kg/m3

---

No. 2
First-principles (PBE) data for a relaxed TlAs crystal, as listed in the Alexandria database.

abc: 11.730 11.730 4.452
angles: 90.00 90.00 90.00
Positions (direct):
Tl1 0.109 0.303 0.500
Tl2 0.609 0.803 0.000
Tl3 0.197 0.609 0.000
Tl4 0.803 0.391 0.000
Tl5 0.891 0.697 0.500
Tl6 0.697 0.109 0.500
Tl7 0.303 0.891 0.500
Tl8 0.391 0.197 0.000
As1 0.120 0.725 0.500
As2 0.775 0.620 0.000
As3 0.275 0.120 0.500
As4 0.225 0.380 0.000
As5 0.620 0.225 0.000
As6 0.380 0.775 0.000
As7 0.880 0.275 0.500
As8 0.725 0.880 0.500

Calculated formation energy = 215 meV per atom
Symmetry = I4/m (87)
Energy = -3.293 eV/atom
Calculated density = 6056 kg/m3

---

No. 3
First-principles (PBE) data for a relaxed Tl5As crystal, as listed in the Alexandria database.

abc: 6.463 6.463 7.255
angles: 75.15 75.15 37.49
Positions (direct):
Tl1 0.326 0.326 0.906
Tl2 0.311 0.311 0.366
Tl3 0.972 0.972 0.556
Tl4 0.634 0.634 0.745
Tl5 0.618 0.618 0.206
As1 0.972 0.972 0.055

Calculated formation energy = 30 meV per atom
Symmetry = Cm (8)
Energy = -2.716 eV/atom
Energy relative to the lowest polymorph listed for this composition = 0 meV per atom
Calculated density = 10257 kg/m3

---

No. 4
First-principles (PBE) data for a relaxed TlAs crystal, as listed in the Alexandria database.

abc: 4.786 4.786 4.518
angles: 90.00 90.00 90.00
Positions (direct):
As1 0.250 0.250 0.387
As2 0.750 0.750 0.613
Tl1 0.250 0.750 0.000
Tl2 0.750 0.250 0.000

Calculated formation energy = 266 meV per atom
Symmetry = P4/nmm (129)
Energy = -3.242 eV/atom
Calculated density = 8965 kg/m3

---

No. 5
First-principles (PBE) data for a relaxed Tl12As crystal, as listed in the Alexandria database.

abc: 8.050 8.050 8.050
angles: 109.47 109.47 109.47
Positions (direct):
Tl1 0.309 0.488 0.178
Tl2 0.691 0.512 0.822
Tl3 0.131 0.822 0.309
Tl4 0.178 0.691 0.869
Tl5 0.488 0.178 0.309
Tl6 0.822 0.309 0.131
Tl7 0.309 0.131 0.822
Tl8 0.691 0.869 0.178
Tl9 0.822 0.691 0.512
Tl10 0.512 0.822 0.691
Tl11 0.178 0.309 0.488
Tl12 0.869 0.178 0.691
As1 0.000 0.000 0.000

Calculated formation energy = 25 meV per atom
Symmetry = Im-3 (204)
Energy = -2.517 eV/atom
Calculated density = 10450 kg/m3

---

No. 6
First-principles (PBE) data for a relaxed TlAs5 crystal, as listed in the Alexandria database.

abc: 6.767 6.767 3.550
angles: 90.00 90.00 120.00
Positions (direct):
Tl1 0.000 0.000 0.500
As1 0.408 0.000 0.000
As2 0.592 0.592 0.000
As3 0.667 0.333 0.500
As4 0.000 0.408 0.000
As5 0.333 0.667 0.500

Calculated formation energy = 215 meV per atom
Symmetry = P-62m (189)
Energy = -4.054 eV/atom
Energy relative to the lowest polymorph listed for this composition = 60 meV per atom
Calculated density = 6829 kg/m3